{
  "formula": "LiBeCd",
  "functional": "GGA-PBE",
  "state": "relaxed",
  "lattice": [[0.000, 3.009, 3.009], [3.009, 0.000, 3.009], [3.009, 3.009, 0.000]],
  "species": ["Li", "Be", "Cd"],
  "fractional_positions": [[0.000, 0.000, 0.000], [0.500, 0.500, 0.500], [0.750, 0.750, 0.750]],
  "space_group": "F-43m, No. 216",
  "n_ef_per_ev_cell": 2.06,
  "e_above_lowest_polymorph_mev_per_atom": 304
}

{
  "formula": "Li2BeCd",
  "functional": "GGA-PBE",
  "state": "relaxed",
  "lattice": [[1.411, 0.814, 9.290], [-1.411, 0.814, 9.290], [0.000, -1.629, 9.290]],
  "species": ["Li", "Li", "Be", "Cd"],
  "fractional_positions": [[0.243, 0.243, 0.243], [0.757, 0.757, 0.757], [0.500, 0.500, 0.500], [0.000, 0.000, 0.000]],
  "space_group": "R-3m, No. 166",
  "n_ef_per_ev_cell": 1.94,
  "e_above_lowest_polymorph_mev_per_atom": 165
}

{
  "formula": "Li2BeCd",
  "functional": "GGA-PBE",
  "state": "relaxed",
  "lattice": [[0.000, 3.080, 3.080], [3.080, 0.000, 3.080], [3.080, 3.080, 0.000]],
  "species": ["Li", "Li", "Be", "Cd"],
  "fractional_positions": [[0.250, 0.250, 0.250], [0.750, 0.750, 0.750], [0.000, 0.000, 0.000], [0.500, 0.500, 0.500]],
  "space_group": "Fm-3m, No. 225",
  "n_ef_per_ev_cell": 1.29,
  "e_above_lowest_polymorph_mev_per_atom": 91
}

Number 1: energy -1.73 eV per atom, size of the total moment 0.000 μB/atom, energy of formation from the pure elements 0.4519 eV per atom. Number 2: energy -1.93 eV per atom, size of the total moment 0.000 μB/atom, energy of formation from the pure elements 0.1885 eV per atom. Number 3: energy -2.00 eV per atom, size of the total moment 0.000 μB/atom, energy of formation from the pure elements 0.1139 eV per atom.